# V2ZnI | Alexandria via LeMat-Bulk | PBE-GGA | relaxed
# DOS at the Fermi energy, states/eV per cell: 13.614
# Total DFT energy (no corrections), eV for the cell shown: -71.8
data_V2ZnI
_chemical_formula_sum 'V8 Zn4 I4'
_symmetry_space_group_name_H-M 'I -4 2 d'
_symmetry_Int_Tables_number 122
_symmetry_space_group_name_Hall 'I -4 2bw'
_cell_length_a 3.936
_cell_length_b 3.936
_cell_length_c 18.753
_cell_angle_alpha 90.00
_cell_angle_beta 90.00
_cell_angle_gamma 90.00
loop_
_atom_site_label
_atom_site_type_symbol
_atom_site_fract_x
_atom_site_fract_y
_atom_site_fract_z
V1 V 0.219 0.250 0.125
Zn1 Zn 0.000 0.000 0.000
I1 I 0.000 0.000 0.500